(1)
# ThAl10Tc2 | Alexandria | GGA-PBE | optimized geometry
# - formation enthalpy at 0 K (eV/atom) = -0.42
# - V (Å³/cell) = 881.35
# - VASP energy (eV per atom) = -5.47
# - density (g/cm³) = 5.26
data_ThAl10Tc2
_cell_length_a 9.174
_cell_length_b 10.369
_cell_length_c 9.265
_cell_angle_alpha 90.00
_cell_angle_beta 90.00
_cell_angle_gamma 90.00
_space_group_name_H-M_alt 'C m c m'
_space_group_IT_number 63
_space_group_name_Hall '-C 2c 2'
loop_
_atom_site_label
_atom_site_type_symbol
_atom_site_fract_x
_atom_site_fract_y
_atom_site_fract_z
Th1 Th 0.000 0.127 0.250
Al1 Al 0.000 0.158 0.600
Al2 Al 0.000 0.378 0.044
Al3 Al 0.151 0.369 0.750
Al4 Al 0.228 0.000 0.000
Al5 Al 0.228 0.367 0.250
Tc1 Tc 0.250 0.250 0.000


(2)
# Pm2NdH | Alexandria | GGA-PBE | optimized geometry
# - energy above the most stable polymorph in this dataset (meV per atom) = 121
# - V (Å³/cell) = 326.49
# - VASP energy (eV per atom) = -4.44
# - density (g/cm³) = 6.64
data_Pm2NdH
_cell_length_a 3.5952
_cell_length_b 3.5952
_cell_length_c 29.1678
_cell_angle_alpha 90.00
_cell_angle_beta 90.00
_cell_angle_gamma 120.00
_space_group_name_H-M_alt 'R -3 m'
_space_group_IT_number 166
_space_group_name_Hall '-R 3 2"'
loop_
_atom_site_label
_atom_site_type_symbol
_atom_site_fract_x
_atom_site_fract_y
_atom_site_fract_z
Pm1 Pm 0.0000 0.0000 0.1193
Nd1 Nd 0.0000 0.0000 0.0000
H1 H 0.0000 0.0000 0.5000


(3)
# YPaMnTc | Alexandria | GGA-PBE | optimized geometry
# - formation enthalpy at 0 K (eV/atom) = 0.06
# - V (Å³/cell) = 320.65
# - VASP energy (eV per atom) = -8.82
# - density (g/cm³) = 9.80
data_YPaMnTc
_cell_length_a 6.845
_cell_length_b 6.845
_cell_length_c 6.845
_cell_angle_alpha 90.00
_cell_angle_beta 90.00
_cell_angle_gamma 90.00
_space_group_name_H-M_alt 'F -4 3 m'
_space_group_IT_number 216
_space_group_name_Hall 'F -4 2 3'
loop_
_atom_site_label
_atom_site_type_symbol
_atom_site_fract_x
_atom_site_fract_y
_atom_site_fract_z
Y1 Y 0.000 0.000 0.000
Pa1 Pa 0.000 0.000 0.500
Mn1 Mn 0.250 0.250 0.750
Tc1 Tc 0.250 0.250 0.250


(4)
# Na2In4Hg | Alexandria | GGA-PBE | optimized geometry
# - formation enthalpy at 0 K (eV/atom) = 0.04
# - energy above the most stable polymorph in this dataset (meV per atom) = 81
# - V (Å³/cell) = 467.82
# - VASP energy (eV per atom) = -1.94
# - density (g/cm³) = 5.01
data_Na2In4Hg
_cell_length_a 6.052
_cell_length_b 15.028
_cell_length_c 5.144
_cell_angle_alpha 90.00
_cell_angle_beta 90.00
_cell_angle_gamma 90.00
_space_group_name_H-M_alt 'C m m m'
_space_group_IT_number 65
_space_group_name_Hall '-C 2 2'
loop_
_atom_site_label
_atom_site_type_symbol
_atom_site_fract_x
_atom_site_fract_y
_atom_site_fract_z
Na1 Na 0.000 0.150 0.000
In1 In 0.000 0.290 0.500
In2 In 0.000 0.399 0.000
Hg1 Hg 0.000 0.500 0.500


(5)
# LiAlRu2 | Alexandria | GGA-PBE | optimized geometry
# - formation enthalpy at 0 K (eV/atom) = -0.08
# - V (Å³/cell) = 54.07
# - VASP energy (eV per atom) = -6.13
# - density (g/cm³) = 7.25
data_LiAlRu2
_cell_length_a 2.688
_cell_length_b 4.117
_cell_length_c 4.915
_cell_angle_alpha 90.00
_cell_angle_beta 96.16
_cell_angle_gamma 90.00
_space_group_name_H-M_alt 'P 1 2/m 1'
_space_group_IT_number 10
_space_group_name_Hall '-P 2y'
loop_
_atom_site_label
_atom_site_type_symbol
_atom_site_fract_x
_atom_site_fract_y
_atom_site_fract_z
Li1 Li 0.000 0.000 0.000
Al1 Al 0.500 0.000 0.500
Ru1 Ru 0.237 0.500 0.759


(6)
# MgCd3O | Alexandria | GGA-PBE | optimized geometry
# - energy above the most stable polymorph in this dataset (meV per atom) = 0
# - V (Å³/cell) = 104.93
# - VASP energy (eV per atom) = -1.97
# - density (g/cm³) = 5.97
data_MgCd3O
_cell_length_a 4.717
_cell_length_b 4.717
_cell_length_c 4.717
_cell_angle_alpha 90.00
_cell_angle_beta 90.00
_cell_angle_gamma 90.00
_space_group_name_H-M_alt 'P m -3 m'
_space_group_IT_number 221
_space_group_name_Hall '-P 4 2 3'
loop_
_atom_site_label
_atom_site_type_symbol
_atom_site_fract_x
_atom_site_fract_y
_atom_site_fract_z
Mg1 Mg 0.000 0.000 0.000
Cd1 Cd 0.000 0.500 0.500
O1 O 0.500 0.500 0.500


(7)
# Pr2ErAl4Au3 | Alexandria | GGA-PBE | optimized geometry
# - formation enthalpy at 0 K (eV/atom) = -0.63
# - V (Å³/cell) = 223.05
# - VASP energy (eV per atom) = -4.52
# - density (g/cm³) = 8.55
data_Pr2ErAl4Au3
_cell_length_a 4.363
_cell_length_b 4.363
_cell_length_c 11.717
_cell_angle_alpha 90.00
_cell_angle_beta 90.00
_cell_angle_gamma 90.00
_space_group_name_H-M_alt 'P -4 m 2'
_space_group_IT_number 115
_space_group_name_Hall 'P -4 -2'
loop_
_atom_site_label
_atom_site_type_symbol
_atom_site_fract_x
_atom_site_fract_y
_atom_site_fract_z
Pr1 Pr 0.000 0.500 0.233
Er1 Er 0.000 0.000 0.500
Al1 Al 0.000 0.000 0.000
Al2 Al 0.000 0.500 0.666
Al3 Al 0.500 0.500 0.000
Au1 Au 0.000 0.500 0.880
Au2 Au 0.500 0.500 0.500


(8)
# Be2InPt | Alexandria | GGA-PBE | optimized geometry
# - formation enthalpy at 0 K (eV/atom) = 0.08
# - V (Å³/cell) = 179.83
# - VASP energy (eV per atom) = -3.98
# - density (g/cm³) = 9.08
data_Be2InPt
_cell_length_a 3.0053
_cell_length_b 3.0053
_cell_length_c 22.9903
_cell_angle_alpha 90.00
_cell_angle_beta 90.00
_cell_angle_gamma 120.00
_space_group_name_H-M_alt 'R -3 m'
_space_group_IT_number 166
_space_group_name_Hall '-R 3 2"'
loop_
_atom_site_label
_atom_site_type_symbol
_atom_site_fract_x
_atom_site_fract_y
_atom_site_fract_z
Be1 Be 0.0000 0.0000 0.2368
In1 In 0.0000 0.0000 0.0000
Pt1 Pt 0.0000 0.0000 0.5000


(9)
# DyBe3Co2 | Alexandria | GGA-PBE | optimized geometry
# - formation enthalpy at 0 K (eV/atom) = -0.24
# - V (Å³/cell) = 293.30
# - VASP energy (eV per atom) = -5.24
# - density (g/cm³) = 6.96
data_DyBe3Co2
_cell_length_a 8.692
_cell_length_b 6.639
_cell_length_c 5.083
_cell_angle_alpha 90.00
_cell_angle_beta 90.00
_cell_angle_gamma 90.00
_space_group_name_H-M_alt 'C m c m'
_space_group_IT_number 63
_space_group_name_Hall '-C 2c 2'
loop_
_atom_site_label
_atom_site_type_symbol
_atom_site_fract_x
_atom_site_fract_y
_atom_site_fract_z
Dy1 Dy 0.000 0.174 0.250
Be1 Be 0.000 0.419 0.750
Be2 Be 0.191 0.221 0.750
Co1 Co 0.197 0.500 0.000


(10)
# Te2RuO | Alexandria | GGA-PBE | optimized geometry
# - V (Å³/cell) = 365.90
# - VASP energy (eV per atom) = -5.07
# - density (g/cm³) = 6.76
data_Te2RuO
_cell_length_a 5.591
_cell_length_b 5.591
_cell_length_c 11.706
_cell_angle_alpha 90.00
_cell_angle_beta 90.00
_cell_angle_gamma 90.00
_space_group_name_H-M_alt 'I -4 2 d'
_space_group_IT_number 122
_space_group_name_Hall 'I -4 2bw'
loop_
_atom_site_label
_atom_site_type_symbol
_atom_site_fract_x
_atom_site_fract_y
_atom_site_fract_z
Te1 Te 0.230 0.250 0.125
Ru1 Ru 0.000 0.000 0.500
O1 O 0.000 0.000 0.000


(11)
# KRbP2O | Alexandria | GGA-PBE | optimized geometry
# - energy above the most stable polymorph in this dataset (meV per atom) = 0
# - V (Å³/cell) = 190.30
# - VASP energy (eV per atom) = -2.69
# - density (g/cm³) = 1.77
data_KRbP2O
_cell_length_a 6.273
_cell_length_b 6.273
_cell_length_c 4.836
_cell_angle_alpha 90.00
_cell_angle_beta 90.00
_cell_angle_gamma 90.00
_space_group_name_H-M_alt 'P 4/m m m'
_space_group_IT_number 123
_space_group_name_Hall '-P 4 2'
loop_
_atom_site_label
_atom_site_type_symbol
_atom_site_fract_x
_atom_site_fract_y
_atom_site_fract_z
K1 K 0.000 0.000 0.000
Rb1 Rb 0.500 0.500 0.500
P1 P 0.000 0.500 0.000
O1 O 0.000 0.000 0.500


(12)
# MoRhCl2 | Alexandria | GGA-PBE | optimized geometry
# - energy above the most stable polymorph in this dataset (meV per atom) = 684
# - V (Å³/cell) = 136.13
# - VASP energy (eV per atom) = -5.03
# - density (g/cm³) = 6.58
data_MoRhCl2
_cell_length_a 2.891
_cell_length_b 5.514
_cell_length_c 8.539
_cell_angle_alpha 90.00
_cell_angle_beta 90.00
_cell_angle_gamma 90.00
_space_group_name_H-M_alt 'C m m m'
_space_group_IT_number 65
_space_group_name_Hall '-C 2 2'
loop_
_atom_site_label
_atom_site_type_symbol
_atom_site_fract_x
_atom_site_fract_y
_atom_site_fract_z
Mo1 Mo 0.000 0.000 0.000
Rh1 Rh 0.000 0.000 0.500
Cl1 Cl 0.000 0.500 0.235


(13)
# SrMnW2 | Alexandria | GGA-PBE | optimized geometry
# - formation enthalpy at 0 K (eV/atom) = 0.86
# - energy above the most stable polymorph in this dataset (meV per atom) = 69
# - V (Å³/cell) = 175.85
# - VASP energy (eV per atom) = -8.33
# - density (g/cm³) = 9.64
data_SrMnW2
_cell_length_a 9.417
_cell_length_b 3.165
_cell_length_c 6.075
_cell_angle_alpha 90.00
_cell_angle_beta 103.83
_cell_angle_gamma 90.00
_space_group_name_H-M_alt 'C 1 m 1'
_space_group_IT_number 8
_space_group_name_Hall 'C -2y'
loop_
_atom_site_label
_atom_site_type_symbol
_atom_site_fract_x
_atom_site_fract_y
_atom_site_fract_z
Sr1 Sr 0.000 0.000 0.000
Mn1 Mn 0.227 0.000 0.638
W1 W 0.019 0.500 0.518
W2 W 0.293 0.500 0.385


(14)
# VSiPd3 | Alexandria | GGA-PBE | optimized geometry
# - energy above the most stable polymorph in this dataset (meV per atom) = 0
# - V (Å³/cell) = 90.36
# - VASP energy (eV per atom) = -5.83
# - density (g/cm³) = 7.32
data_VSiPd3
_cell_length_a 4.487
_cell_length_b 4.487
_cell_length_c 4.487
_cell_angle_alpha 90.00
_cell_angle_beta 90.00
_cell_angle_gamma 90.00
_space_group_name_H-M_alt 'P m -3 m'
_space_group_IT_number 221
_space_group_name_Hall '-P 4 2 3'
loop_
_atom_site_label
_atom_site_type_symbol
_atom_site_fract_x
_atom_site_fract_y
_atom_site_fract_z
V1 V 0.000 0.000 0.000
Si1 Si 0.500 0.500 0.500
Pd1 Pd 0.000 0.500 0.500


(15)
# VGeS3 | Alexandria | GGA-PBE | optimized geometry
# - energy above the most stable polymorph in this dataset (meV per atom) = 401
# - V (Å³/cell) = 97.62
# - VASP energy (eV per atom) = -5.29
# - density (g/cm³) = 3.74
data_VGeS3
_cell_length_a 4.604
_cell_length_b 4.604
_cell_length_c 4.604
_cell_angle_alpha 90.00
_cell_angle_beta 90.00
_cell_angle_gamma 90.00
_space_group_name_H-M_alt 'P m -3 m'
_space_group_IT_number 221
_space_group_name_Hall '-P 4 2 3'
loop_
_atom_site_label
_atom_site_type_symbol
_atom_site_fract_x
_atom_site_fract_y
_atom_site_fract_z
V1 V 0.000 0.000 0.000
Ge1 Ge 0.500 0.500 0.500
S1 S 0.000 0.000 0.500


(16)
# BaNb3O7 | Alexandria | GGA-PBE | optimized geometry
# - V (Å³/cell) = 329.58
# - VASP energy (eV per atom) = -8.40
# - density (g/cm³) = 5.32
data_BaNb3O7
_cell_length_a 7.014
_cell_length_b 12.247
_cell_length_c 3.837
_cell_angle_alpha 90.00
_cell_angle_beta 90.00
_cell_angle_gamma 90.00
_space_group_name_H-M_alt 'C m m m'
_space_group_IT_number 65
_space_group_name_Hall '-C 2 2'
loop_
_atom_site_label
_atom_site_type_symbol
_atom_site_fract_x
_atom_site_fract_y
_atom_site_fract_z
Ba1 Ba 0.000 0.000 0.000
Nb1 Nb 0.000 0.267 0.000
Nb2 Nb 0.000 0.500 0.000
O1 O 0.000 0.217 0.500
O2 O 0.000 0.500 0.500
O3 O 0.216 0.366 0.000


(17)
# Mg7In3Sn2 | Alexandria | GGA-PBE | optimized geometry
# - formation enthalpy at 0 K (eV/atom) = -0.01
# - V (Å³/cell) = 611.56
# - VASP energy (eV per atom) = -2.29
# - density (g/cm³) = 4.08
data_Mg7In3Sn2
_cell_length_a 5.050
_cell_length_b 24.221
_cell_length_c 5.000
_cell_angle_alpha 90.00
_cell_angle_beta 90.00
_cell_angle_gamma 90.00
_space_group_name_H-M_alt 'C m m m'
_space_group_IT_number 65
_space_group_name_Hall '-C 2 2'
loop_
_atom_site_label
_atom_site_type_symbol
_atom_site_fract_x
_atom_site_fract_y
_atom_site_fract_z
Mg1 Mg 0.000 0.000 0.000
Mg2 Mg 0.000 0.075 0.500
Mg3 Mg 0.000 0.279 0.000
Mg4 Mg 0.000 0.425 0.000
In1 In 0.000 0.344 0.500
In2 In 0.000 0.500 0.500
Sn1 Sn 0.000 0.150 0.000


(18)
# Ba3C | Alexandria | GGA-PBE | optimized geometry
# - formation enthalpy at 0 K (eV/atom) = 0.43
# - energy above the most stable polymorph in this dataset (meV per atom) = 50
# - V (Å³/cell) = 363.08
# - VASP energy (eV per atom) = -3.32
# - density (g/cm³) = 3.88
data_Ba3C
_cell_length_a 3.870
_cell_length_b 12.492
_cell_length_c 7.510
_cell_angle_alpha 90.00
_cell_angle_beta 90.00
_cell_angle_gamma 90.00
_space_group_name_H-M_alt 'I m m 2'
_space_group_IT_number 44
_space_group_name_Hall 'I 2 -2'
loop_
_atom_site_label
_atom_site_type_symbol
_atom_site_fract_x
_atom_site_fract_y
_atom_site_fract_z
Ba1 Ba 0.000 0.000 0.000
Ba2 Ba 0.000 0.144 0.415
C1 C 0.000 0.500 0.775


(19)
# CrBi | Alexandria | GGA-PBE | optimized geometry
# - formation enthalpy at 0 K (eV/atom) = 0.45
# - V (Å³/cell) = 371.56
# - VASP energy (eV per atom) = -6.30
# - density (g/cm³) = 9.33
data_CrBi
_cell_length_a 6.445
_cell_length_b 6.753
_cell_length_c 8.537
_cell_angle_alpha 90.00
_cell_angle_beta 90.00
_cell_angle_gamma 90.00
_space_group_name_H-M_alt 'P 21 21 21'
_space_group_IT_number 19
_space_group_name_Hall 'P 2ac 2ab'
loop_
_atom_site_label
_atom_site_type_symbol
_atom_site_fract_x
_atom_site_fract_y
_atom_site_fract_z
Cr1 Cr 0.006 0.043 0.407
Cr2 Cr 0.205 0.378 0.345
Bi1 Bi 0.108 0.297 0.668
Bi2 Bi 0.139 0.125 0.073


(20)
# ReNi2Pt6 | Alexandria | GGA-PBE | optimized geometry
# - formation enthalpy at 0 K (eV/atom) = 0.04
# - energy above the most stable polymorph in this dataset (meV per atom) = 0
# - V (Å³/cell) = 271.05
# - VASP energy (eV per atom) = -6.65
# - density (g/cm³) = 18.06
data_ReNi2Pt6
_cell_length_a 4.990
_cell_length_b 7.432
_cell_length_c 7.518
_cell_angle_alpha 98.83
_cell_angle_beta 91.45
_cell_angle_gamma 99.83
_space_group_name_H-M_alt 'P -1'
_space_group_IT_number 2
_space_group_name_Hall '-P 1'
loop_
_atom_site_label
_atom_site_type_symbol
_atom_site_fract_x
_atom_site_fract_y
_atom_site_fract_z
Re1 Re 0.176 0.090 0.413
Ni1 Ni 0.152 0.388 0.911
Ni2 Ni 0.356 0.616 0.163
Pt1 Pt 0.020 0.345 0.242
Pt2 Pt 0.168 0.913 0.082
Pt3 Pt 0.279 0.767 0.479
Pt4 Pt 0.290 0.420 0.592
Pt5 Pt 0.327 0.059 0.752
Pt6 Pt 0.488 0.269 0.129